# 1
First-principles (GGA-PBE) data for a relaxed SrAlCuSi2 crystal, as listed in Alexandria via LeMat-Bulk.

- Calculated total energy: -4.41 eV/atom
- Fermi-level density of states: 2.10 states/eV/cell
- Formation energy without anion corrections: -0.3350 eV per atom

a = 4.255 Å, b = 4.255 Å, c = 10.337 Å
α = 90.00°, β = 90.00°, γ = 90.00°
Space group I-4m2 (No. 119)
Asymmetric unit:
Sr (0.000, 0.000, 0.000)
Al (0.000, 0.500, 0.250)
Cu (0.000, 0.500, 0.750)
Si (0.000, 0.000, 0.382)

# 2
First-principles (GGA-PBE) data for a relaxed SrAl2Cu4Si crystal, as listed in Alexandria via LeMat-Bulk.

- Calculated total energy: -3.98 eV/atom
- Fermi-level density of states: 10.15 states/eV/cell
- Formation energy without anion corrections: -0.1115 eV per atom

a = 4.1409 Å, b = 4.1409 Å, c = 27.6479 Å
α = 90.00°, β = 90.00°, γ = 120.00°
Space group R-3m (No. 166, hexagonal axes)
Asymmetric unit:
Sr (0.0000, 0.0000, 0.0000)
Al (0.0000, 0.0000, 0.2404)
Cu (0.0000, 0.0000, 0.1346)
Cu (0.0000, 0.0000, 0.4144)
Si (0.0000, 0.0000, 0.5000)

# 3
First-principles (GGA-PBE) data for a relaxed SrAlCu6Si crystal, as listed in Alexandria via LeMat-Bulk.

- Calculated total energy: -3.94 eV/atom
- Fermi-level density of states: 16.59 states/eV/cell
- Formation energy without anion corrections: 0.0009 eV per atom

a = 6.656 Å, b = 6.659 Å, c = 13.621 Å
α = 90.00°, β = 90.00°, γ = 90.00°
Space group Imma (No. 74)
Asymmetric unit:
Sr (0.000, 0.250, 0.204)
Al (0.250, 0.250, 0.750)
Cu (0.000, 0.250, 0.452)
Cu (0.000, 0.250, 0.880)
Cu (0.186, 0.055, 0.591)
Si (0.000, 0.000, 0.000)

# 4
First-principles (GGA-PBE) data for a relaxed TbAl2Cu4Si crystal, as listed in Alexandria via LeMat-Bulk.

- Calculated total energy: -4.46 eV/atom
- Fermi-level density of states: 6.08 states/eV/cell
- Formation energy without anion corrections: -0.2200 eV per atom

a = 4.1188 Å, b = 4.1188 Å, c = 25.5014 Å
α = 90.00°, β = 90.00°, γ = 120.00°
Space group R-3m (No. 166, hexagonal axes)
Asymmetric unit:
Tb (0.0000, 0.0000, 0.0000)
Al (0.0000, 0.0000, 0.2474)
Cu (0.0000, 0.0000, 0.1307)
Cu (0.0000, 0.0000, 0.4066)
Si (0.0000, 0.0000, 0.5000)

# 5
First-principles (GGA-PBE) data for a relaxed Tb2AlCu4Si3 crystal, as listed in Alexandria via LeMat-Bulk.

- Calculated total energy: -5.12 eV/atom
- Fermi-level density of states: 3.79 states/eV/cell
- Formation energy without anion corrections: -0.5572 eV per atom

a = 4.005 Å, b = 4.005 Å, c = 10.074 Å
α = 90.00°, β = 90.00°, γ = 90.00°
Space group P-4m2 (No. 115)
Asymmetric unit:
Tb (0.000, 0.500, 0.241)
Al (0.000, 0.000, 0.500)
Cu (0.000, 0.000, 0.000)
Cu (0.000, 0.500, 0.638)
Cu (0.500, 0.500, 0.000)
Si (0.000, 0.500, 0.869)
Si (0.500, 0.500, 0.500)

# 6
First-principles (GGA-PBE) data for a relaxed Al2CuSiTc crystal, as listed in Alexandria via LeMat-Bulk.

- Calculated total energy: -4.46 eV/atom
- Fermi-level density of states: 2.81 states/eV/cell
- Formation energy without anion corrections: 1.0154 eV per atom

a = 4.691 Å, b = 4.691 Å, c = 4.248 Å
α = 90.00°, β = 90.00°, γ = 90.00°
Space group P4/mmm (No. 123)
Asymmetric unit:
Al (0.000, 0.500, 0.000)
Cu (0.000, 0.000, 0.500)
Si (0.000, 0.000, 0.000)
Tc (0.500, 0.500, 0.500)

# 7
First-principles (GGA-PBE) data for a relaxed Th2AlCu4Si3 crystal, as listed in Alexandria via LeMat-Bulk.

- Calculated total energy: -5.68 eV/atom
- Fermi-level density of states: 2.89 states/eV/cell
- Formation energy without anion corrections: -0.5531 eV per atom

a = 4.115 Å, b = 4.115 Å, c = 10.048 Å
α = 90.00°, β = 90.00°, γ = 90.00°
Space group P-4m2 (No. 115)
Asymmetric unit:
Th (0.000, 0.500, 0.242)
Al (0.000, 0.000, 0.500)
Cu (0.000, 0.000, 0.000)
Cu (0.000, 0.500, 0.635)
Cu (0.500, 0.500, 0.000)
Si (0.000, 0.500, 0.872)
Si (0.500, 0.500, 0.500)

# 8
First-principles (GGA-PBE) data for a relaxed ThAl2Cu2Si crystal, as listed in Alexandria via LeMat-Bulk.

- Calculated total energy: -4.83 eV/atom
- Fermi-level density of states: 3.17 states/eV/cell
- Formation energy without anion corrections: -0.0738 eV per atom

a = 4.451 Å, b = 4.451 Å, c = 5.691 Å
α = 90.00°, β = 90.00°, γ = 90.00°
Space group P4/mmm (No. 123)
Asymmetric unit:
Th (0.000, 0.000, 0.000)
Al (0.500, 0.500, 0.234)
Cu (0.000, 0.500, 0.500)
Si (0.000, 0.000, 0.500)